(1)
The following is a DFT calculation (GGA-PBE) of Dy2Ga3Ni after structural relaxation.

Geometry as POSCAR:
```
Dy2Ga3Ni
1.0
-4.211 -0.231 -0.678
1.631 -1.245 3.746
-0.817 7.012 2.687
Dy Ga Ni
2 3 1
direct
0.667 0.333 0.772
0.667 0.333 0.236
0.333 0.667 0.012
0.333 0.667 0.460
0.000 0.000 0.546
0.000 0.000 0.974
```

calculated formation energy: -3.7 eV per formula unit
crystal system: trigonal
V: 19.9 Å³/atom

(2)
The following is a DFT calculation (GGA-PBE) of SrMn2Os2 after structural relaxation.

Geometry as POSCAR:
```
SrMn2Os2
1.0
-1.852 2.259 7.190
3.434 -6.338 2.876
2.390 1.378 0.183
Sr Mn Os
2 4 4
direct
0.000 0.000 0.000
0.500 0.500 0.000
0.157 0.657 0.500
0.657 0.843 0.500
0.843 0.343 0.500
0.343 0.157 0.500
0.370 0.870 0.000
0.870 0.630 0.000
0.630 0.130 0.000
0.130 0.370 0.000
```

energy above the most stable polymorph in this dataset: 0.732 eV/f.u.
calculated formation energy: 2.4 eV per formula unit
crystal system: tetragonal
V: 16.7 Å³/atom

(3)
The following is a DFT calculation (GGA-PBE) of Ta2AgC2 after structural relaxation.

Geometry as POSCAR:
```
Ta2AgC2
1.0
6.398 0.000 0.000
0.000 6.398 0.000
0.000 0.000 2.965
C Ag Ta
4 2 4
direct
0.357 0.857 0.000
0.857 0.643 0.000
0.643 0.143 0.000
0.143 0.357 0.000
0.000 0.000 0.000
0.500 0.500 0.000
0.150 0.650 0.500
0.650 0.850 0.500
0.850 0.350 0.500
0.350 0.150 0.500
```

energy above the most stable polymorph in this dataset: 0.606 eV/f.u.
calculated formation energy: 1.8 eV per formula unit
crystal system: tetragonal
V: 12.1 Å³/atom